A relaxed Sc4Nb2Zn3C3 crystal. Source: OQMD, functional PBE.

total magnetic moment	0.04	μB/cell
final energy	-6.833	eV/atom

a b c (Å): 9.786 5.633 14.564
angles (deg): 90.00 103.89 90.00
Space group C2/c (No. 15)
Symmetry-distinct sites (fractional):
1 Sc 0.116 0.074 0.094 x8
2 Sc 0.212 0.089 0.406 x8
3 Nb 0.062 0.411 0.924 x8
4 Zn 0.000 0.140 0.750 x4
5 Zn 0.135 0.452 0.249 x8
6 C 0.079 0.263 0.500 x8
7 C 0.250 0.250 0.000 x4

---

A relaxed NbC3Se4 crystal. Source: OQMD, functional PBE.

total magnetic moment	0.01	μB/cell
final energy	-4.450	eV/atom

a b c (Å): 6.239 6.239 6.239
angles (deg): 90.00 90.00 90.00
Space group I-43m (No. 217)
Symmetry-distinct sites (fractional):
1 Nb 0.000 0.000 0.000 x2
2 C 0.000 0.000 0.500 x6
3 Se 0.235 0.235 0.765 x8

---

A relaxed Nb4SnC2Se crystal. Source: OQMD, functional PBE.

total magnetic moment	0.01	μB/cell
final energy	-8.813	eV/atom

a b c (Å): 3.3174 3.3174 13.0438
angles (deg): 90.00 90.00 120.00
Space group P-6m2 (No. 187)
Symmetry-distinct sites (fractional):
1 Nb 0.0000 0.0000 0.1493 x2
2 Nb 0.6667 0.3333 0.3212 x2
3 Sn 0.0000 0.0000 0.5000 x1
4 C 0.3333 0.6667 0.2364 x2
5 Se 0.6667 0.3333 0.0000 x1

---

A relaxed Nb2TeCSe crystal. Source: OQMD, functional PBE.

total magnetic moment	0.00	μB/cell
final energy	-7.848	eV/atom

a b c (Å): 3.3765 3.3765 10.0037
angles (deg): 90.00 90.00 120.00
Space group P3m1 (No. 156)
Symmetry-distinct sites (fractional):
1 Nb 0.0000 0.0000 0.0000 x1
2 Nb 0.3333 0.6667 0.2295 x1
3 Te 0.0000 0.0000 0.4390 x1
4 C 0.6667 0.3333 0.1180 x1
5 Se 0.3333 0.6667 0.8220 x1

---

> Number 2 is which compound?

NbC3Se4